No. 1
A relaxed MnBe2Ag crystal, computed with GGA-PBE.

```
MnBe2Ag
1.0
-4.0061 1.1439 4.6412
3.8650 -2.7881 4.0232
1.0992 1.4487 4.7822
Mn Be Ag
2 4 2
direct
0.5000 0.5000 0.0000 Mn
0.2500 0.7500 0.5000 Mn
0.3750 0.3819 0.7500 Be
0.1319 0.6250 0.2500 Be
0.6181 0.1250 0.2500 Be
0.8750 0.8681 0.7500 Be
0.7500 0.2500 0.5000 Ag
0.0000 0.0000 0.0000 Ag
```

ρ = 5.95 Mg/m³
Volume = 12.61 Å³ per atom
Energy relative to the elements = 2.2 eV/f.u.
Energy above the most stable polymorph in this dataset = 0.492 eV/atom
Final energy = -34.61 eV/cell
Crystal system = tetragonal

=====

No. 2
A relaxed CsRb2Np3Te8 crystal, computed with GGA-PBE.

```
CsRb2Np3Te8
1.0
9.1642 0.0000 0.0000
4.5821 7.9364 0.0000
4.5821 2.6455 9.0520
Rb Np Te Cs
2 3 8 1
direct
0.4995 0.4995 0.5015 Rb
0.1375 0.1375 0.5876 Rb
0.4990 0.0013 0.0008 Np
0.4990 0.4990 0.0008 Np
0.0013 0.4990 0.0008 Np
0.2413 0.2413 0.8196 Te
0.6978 0.2413 0.8196 Te
0.2718 0.2718 0.1844 Te
0.2413 0.6978 0.8196 Te
0.3065 0.7568 0.1800 Te
0.7568 0.7568 0.1800 Te
0.7249 0.7249 0.8253 Te
0.7568 0.3065 0.1800 Te
0.8593 0.8593 0.4221 Cs
```

ρ = 5.13 Mg/m³
Volume = 47.03 Å³ per atom
Final energy = -76.60 eV/cell
Crystal system = trigonal
E_form (uncorrected) = -0.704 eV/atom

=====

No. 3
A relaxed ZnRhBr2 crystal, computed with GGA-PBE.

```
ZnRhBr2
1.0
2.1679 0.0000 9.4504
-1.0840 1.8775 9.4504
-1.0840 -1.8775 9.4504
Zn Rh Br
1 1 2
direct
0.0000 0.0000 0.0000 Zn
0.5000 0.5000 0.5000 Rh
0.1162 0.1162 0.1162 Br
0.8838 0.8838 0.8838 Br
```

ρ = 4.72 Mg/m³
Volume = 28.85 Å³ per atom
Energy above the most stable polymorph in this dataset = 0.335 eV/atom
Final energy = -11.45 eV/cell
Crystal system = trigonal
E_form (uncorrected) = 0.130 eV/atom

=====

No. 4
A relaxed Tb2Sm5Sc2 crystal, computed with GGA-PBE.

```
Tb2Sm5Sc2
1.0
-0.1241 -11.0249 -2.5111
-1.1711 -1.4176 6.2819
-6.9736 6.6106 -3.2183
Sc Tb Sm
4 4 10
direct
0.4308 0.8898 0.8099 Sc
0.1209 0.5800 0.1901 Sc
0.5692 0.0800 0.1901 Sc
0.8791 0.3898 0.8099 Sc
0.0000 0.9779 0.0000 Tb
0.2323 0.3586 0.5000 Tb
0.5000 0.4779 0.0000 Tb
0.7677 0.8586 0.5000 Tb
0.3621 0.9660 0.2971 Sm
0.2100 0.7004 0.8779 Sm
0.8321 0.3225 0.1221 Sm
0.1679 0.2004 0.8779 Sm
0.9075 0.3718 0.5000 Sm
0.5650 0.1689 0.7029 Sm
0.4350 0.4660 0.2971 Sm
0.6379 0.6689 0.7029 Sm
0.0925 0.8718 0.5000 Sm
0.7900 0.8225 0.1222 Sm
```

ρ = 6.72 Mg/m³
Volume = 31.85 Å³ per atom
Energy relative to the elements = 2.3 eV/f.u.
Energy above the most stable polymorph in this dataset = 0.134 eV/atom
Final energy = -86.43 eV/cell
Crystal system = orthorhombic

=====

Q: What is the final energy in the first record?
A: -34.61 eV/cell

=====

Q: Among the records above, which one has the highest ρ?
A: Tb2Sm5Sc2

=====

Q: The lowest final energy belongs to which entry?
A: Tb2Sm5Sc2

=====

Q: Among the records above, which one has the highest final energy?
A: ZnRhBr2